# 1
DFT (PBE) results for a relaxed structure of PmPt3Rh.

Values from the calculation:
Energy of formation = -0.01 eV per formula unit

```
data_PmPt3Rh
_chemical_formula_sum 'Pm4 Pt12 Rh4'
_symmetry_space_group_name_H-M 'C m c m'
_symmetry_Int_Tables_number 63
_symmetry_space_group_name_Hall '-C 2c 2'
_cell_length_a 7.369
_cell_length_b 12.876
_cell_length_c 4.845
_cell_angle_alpha 90.00
_cell_angle_beta 90.00
_cell_angle_gamma 90.00
loop_
_atom_site_label
_atom_site_type_symbol
_atom_site_fract_x
_atom_site_fract_y
_atom_site_fract_z
Pm1 Pm 0.000 0.116 0.250
Pt1 Pt 0.000 0.500 0.000
Pt2 Pt 0.172 0.266 0.750
Rh1 Rh 0.000 0.321 0.250
```

# 2
DFT (PBE) results for a relaxed structure of MnSnTeI2.

Values from the calculation:
Energy relative to the lowest polymorph listed for this composition = 8.55 kcal/mol of atoms
Uncorrected formation energy = 211 kJ/mol of formula units

```
data_MnSnTeI2
_chemical_formula_sum 'Mn1 Sn1 Te1 I2'
_symmetry_space_group_name_H-M 'P 4/m m m'
_symmetry_Int_Tables_number 123
_symmetry_space_group_name_Hall '-P 4 2'
_cell_length_a 5.964
_cell_length_b 5.964
_cell_length_c 5.871
_cell_angle_alpha 90.00
_cell_angle_beta 90.00
_cell_angle_gamma 90.00
loop_
_atom_site_label
_atom_site_type_symbol
_atom_site_fract_x
_atom_site_fract_y
_atom_site_fract_z
Mn1 Mn 0.000 0.000 0.000
Sn1 Sn 0.500 0.500 0.500
Te1 Te 0.500 0.500 0.000
I1 I 0.000 0.500 0.500
```

# 3
DFT (PBE) results for a relaxed structure of TbDyPtPb.

Values from the calculation:
Energy of formation = -2.95 eV per formula unit

```
data_TbDyPtPb
_chemical_formula_sum 'Tb4 Dy4 Pt4 Pb4'
_symmetry_space_group_name_H-M 'F -4 3 m'
_symmetry_Int_Tables_number 216
_symmetry_space_group_name_Hall 'F -4 2 3'
_cell_length_a 7.352
_cell_length_b 7.352
_cell_length_c 7.352
_cell_angle_alpha 90.00
_cell_angle_beta 90.00
_cell_angle_gamma 90.00
loop_
_atom_site_label
_atom_site_type_symbol
_atom_site_fract_x
_atom_site_fract_y
_atom_site_fract_z
Tb1 Tb 0.000 0.000 0.000
Dy1 Dy 0.000 0.000 0.500
Pt1 Pt 0.250 0.250 0.750
Pb1 Pb 0.250 0.250 0.250
```

# 4
DFT (PBE) results for a relaxed structure of SmThPaAl.

Values from the calculation:
Energy of formation = 0.70 eV per formula unit

```
data_SmThPaAl
_chemical_formula_sum 'Sm4 Th4 Pa4 Al4'
_symmetry_space_group_name_H-M 'F -4 3 m'
_symmetry_Int_Tables_number 216
_symmetry_space_group_name_Hall 'F -4 2 3'
_cell_length_a 7.534
_cell_length_b 7.534
_cell_length_c 7.534
_cell_angle_alpha 90.00
_cell_angle_beta 90.00
_cell_angle_gamma 90.00
loop_
_atom_site_label
_atom_site_type_symbol
_atom_site_fract_x
_atom_site_fract_y
_atom_site_fract_z
Sm1 Sm 0.000 0.000 0.000
Th1 Th 0.250 0.250 0.250
Pa1 Pa 0.000 0.000 0.500
Al1 Al 0.250 0.250 0.750
```

# 5
DFT (PBE) results for a relaxed structure of Pm5YSc.

Values from the calculation:
Energy of formation = 1.27 eV per formula unit

```
data_Pm5YSc
_chemical_formula_sum 'Pm20 Y4 Sc4'
_symmetry_space_group_name_H-M 'C 1 2/c 1'
_symmetry_Int_Tables_number 15
_symmetry_space_group_name_Hall '-C 2yc'
_cell_length_a 10.779
_cell_length_b 6.637
_cell_length_c 13.054
_cell_angle_alpha 90.00
_cell_angle_beta 96.70
_cell_angle_gamma 90.00
loop_
_atom_site_label
_atom_site_type_symbol
_atom_site_fract_x
_atom_site_fract_y
_atom_site_fract_z
Pm1 Pm 0.000 0.236 0.250
Pm2 Pm 0.167 0.499 0.076
Pm3 Pm 0.249 0.001 0.657
Y1 Y 0.000 0.237 0.750
Sc1 Sc 0.000 0.000 0.000
```

# 6
DFT (PBE) results for a relaxed structure of LaNd10Dy6.

Values from the calculation:
Energy of formation = 2.24 eV per formula unit

```
data_LaNd10Dy6
_chemical_formula_sum 'La1 Nd10 Dy6'
_symmetry_space_group_name_H-M 'P -3 1 m'
_symmetry_Int_Tables_number 162
_symmetry_space_group_name_Hall '-P 3 2'
_cell_length_a 9.9025
_cell_length_b 9.9025
_cell_length_c 6.9452
_cell_angle_alpha 90.00
_cell_angle_beta 90.00
_cell_angle_gamma 120.00
loop_
_atom_site_label
_atom_site_type_symbol
_atom_site_fract_x
_atom_site_fract_y
_atom_site_fract_z
La1 La 0.0000 0.0000 0.0000
Nd1 Nd 0.0000 0.2776 0.6800
Nd2 Nd 0.3333 0.6667 0.0000
Nd3 Nd 0.3333 0.6667 0.5000
Dy1 Dy 0.0000 0.3715 0.1905
```